Arrangement a

VASP calculation (PBE) on a relaxed HoScAl2 crystal.

Cell and atoms, written as POSCAR:
```
HoScAl2
1.0
3.488 0.000 0.000
0.000 3.488 0.000
0.000 0.000 6.931
Ho Sc Al
1 1 2
direct
0.000 0.000 0.000 Ho
0.000 0.000 0.500 Sc
0.500 0.500 0.271 Al
0.500 0.500 0.729 Al
```

Results
**Crystal system**: tetragonal

=====

Arrangement b

VASP calculation (PBE) on a relaxed HoScAl2 crystal.

Cell and atoms, written as POSCAR:
```
HoScAl2
1.0
4.570 0.000 0.000
0.000 4.570 0.000
0.000 0.000 4.075
Ho Sc Al
1 1 2
direct
0.000 0.000 0.000 Ho
0.500 0.500 0.000 Sc
0.000 0.500 0.500 Al
0.500 0.000 0.500 Al
```

Results
**Crystal system**: tetragonal

=====

Least stable of them? arrangement b.

=====

Arrangement a

VASP calculation (PBE) on a relaxed Ho4ScAl crystal.

Cell and atoms, written as POSCAR:
```
Ho4ScAl
1.0
4.309 -6.811 0.000
4.309 6.811 0.000
-1.940 0.000 5.751
Ho Sc Al
8 2 2
direct
0.086 0.714 0.954 Ho
0.179 0.396 0.626 Ho
0.286 0.914 0.546 Ho
0.396 0.179 0.126 Ho
0.604 0.821 0.874 Ho
0.714 0.086 0.454 Ho
0.821 0.604 0.374 Ho
0.914 0.286 0.046 Ho
0.403 0.597 0.250 Sc
0.597 0.403 0.750 Sc
0.001 0.999 0.750 Al
0.999 0.001 0.250 Al
```

Results
**Crystal system**: monoclinic

=====

Arrangement b

VASP calculation (PBE) on a relaxed Ho4ScAl crystal.

Cell and atoms, written as POSCAR:
```
Ho4ScAl
1.0
10.618 0.000 0.000
0.000 3.441 0.000
-4.613 0.000 9.458
Ho Sc Al
8 2 2
direct
0.142 0.000 0.354 Ho
0.162 0.500 0.837 Ho
0.338 0.000 0.163 Ho
0.358 0.500 0.646 Ho
0.642 0.500 0.354 Ho
0.662 0.000 0.837 Ho
0.838 0.500 0.163 Ho
0.858 0.000 0.646 Ho
0.000 0.000 0.000 Sc
0.500 0.500 0.000 Sc
0.000 0.500 0.500 Al
0.500 0.000 0.500 Al
```

Results
**Crystal system**: monoclinic

=====

Least stable of them? arrangement b.

=====

Arrangement a

VASP calculation (PBE) on a relaxed HoSc3Al8 crystal.

Cell and atoms, written as POSCAR:
```
HoSc3Al8
1.0
5.403 0.000 0.000
-2.702 4.679 0.000
0.000 0.000 8.843
Ho Sc Al
1 3 8
direct
0.000 0.000 0.000 Ho
0.000 0.000 0.367 Sc
0.667 0.333 0.500 Sc
0.667 0.333 0.862 Sc
0.162 0.324 0.680 Al
0.162 0.838 0.680 Al
0.333 0.667 0.435 Al
0.333 0.667 0.932 Al
0.505 0.009 0.187 Al
0.505 0.495 0.187 Al
0.676 0.838 0.680 Al
0.991 0.495 0.187 Al
```

Results
**Crystal system**: trigonal

=====

Arrangement b

VASP calculation (PBE) on a relaxed HoSc3Al8 crystal.

Cell and atoms, written as POSCAR:
```
HoSc3Al8
1.0
2.700 1.559 8.860
-2.700 1.559 8.860
0.000 -3.118 8.860
Ho Sc Al
1 3 8
direct
0.000 0.000 0.000 Ho
0.377 0.377 0.377 Sc
0.499 0.499 0.499 Sc
0.874 0.874 0.874 Sc
0.187 0.187 0.187 Al
0.437 0.437 0.936 Al
0.437 0.936 0.437 Al
0.439 0.938 0.938 Al
0.688 0.688 0.688 Al
0.936 0.437 0.437 Al
0.938 0.439 0.938 Al
0.938 0.938 0.439 Al
```

Results
**Crystal system**: trigonal

=====

Least stable of them? arrangement a.

=====

Arrangement a

VASP calculation (PBE) on a relaxed SmHo2Al crystal.

Cell and atoms, written as POSCAR:
```
SmHo2Al
1.0
4.780 0.000 0.000
0.000 4.780 0.000
0.000 0.000 4.771
Sm Ho Al
1 2 1
direct
0.000 0.000 0.000 Sm
0.000 0.500 0.500 Ho
0.500 0.000 0.500 Ho
0.500 0.500 0.000 Al
```

Results
**Crystal system**: tetragonal

=====

Arrangement b

VASP calculation (PBE) on a relaxed SmHo2Al crystal.

Cell and atoms, written as POSCAR:
```
SmHo2Al
1.0
3.513 0.000 0.000
0.000 3.513 0.000
0.000 0.000 9.044
Sm Ho Al
1 2 1
direct
0.000 0.000 0.000 Sm
0.500 0.500 0.289 Ho
0.500 0.500 0.711 Ho
0.000 0.000 0.500 Al
```

Results
**Crystal system**: tetragonal

=====

Least stable of them? arrangement a.